Entry 1:
The following is a PBEsol calculation of a relaxed Sc3Au4 crystal, from Alexandria via LeMat-Bulk.

It has space group I4/mmm (No. 139), with a = 3.534 Å, b = 3.534 Å, c = 20.946 Å, α = 90.00°, β = 90.00° and γ = 90.00°. The inequivalent atoms are Sc at (0.000, 0.000, 0.000), Sc at (0.000, 0.000, 0.298), Au at (0.000, 0.000, 0.143) and Au at (0.000, 0.000, 0.433).

The density of states at the Fermi level is 7.7 states/eV per cell. The calculated formation energy is -71.2 kJ/mol of atoms.

***

Entry 2:
The following is a PBEsol calculation of a relaxed Sc3Au crystal, from Alexandria via LeMat-Bulk.

It has space group Fm-3m (No. 225), with a = 6.842 Å, b = 6.842 Å, c = 6.842 Å, α = 90.00°, β = 90.00° and γ = 90.00°. The inequivalent atoms are Sc at (0.000, 0.000, 0.000), Sc at (0.250, 0.250, 0.250) and Au at (0.000, 0.000, 0.500).

The density of states at the Fermi level is 25.7 states/eV per cell. The calculated formation energy is -25.3 kJ/mol of atoms.